First-principles (PBE-GGA) data for crystalline Na2Mg12Pb7 at its relaxed geometry, as listed in Alexandria.

ΔH_f (0 K)   -0.096 eV/atom
Crystal system   hexagonal
E   -49.75 eV/cell

a b c (Å): 12.005 12.005 4.490
angles (deg): 90.00 90.00 120.00
Positions (direct):
Na (0.000, 0.000, 0.000)
Na (0.333, 0.667, 0.500)
Mg (0.048, 0.286, 0.500)
Mg (0.099, 0.715, 0.000)
Mg (0.239, 0.952, 0.500)
Mg (0.285, 0.384, 0.000)
Mg (0.388, 0.173, 0.000)
Mg (0.529, 0.421, 0.500)
Mg (0.579, 0.107, 0.500)
Mg (0.616, 0.901, 0.000)
Mg (0.714, 0.761, 0.500)
Mg (0.785, 0.612, 0.000)
Mg (0.827, 0.215, 0.000)
Mg (0.893, 0.471, 0.500)
Pb (0.084, 0.464, 0.000)
Pb (0.241, 0.202, 0.500)
Pb (0.381, 0.916, 0.000)
Pb (0.536, 0.619, 0.000)
Pb (0.667, 0.333, 0.000)
Pb (0.798, 0.039, 0.500)
Pb (0.961, 0.759, 0.500)


First-principles (PBE-GGA) data for crystalline Ac2Sn3Pb3 at its relaxed geometry, as listed in Alexandria.

ΔH_f (0 K)   -0.453 eV/atom
Crystal system   orthorhombic
E   -34.98 eV/cell

a b c (Å): 4.975 4.992 10.025
angles (deg): 90.00 90.00 90.00
Positions (direct):
Ac (0.000, 0.000, 0.246)
Ac (0.000, 0.000, 0.754)
Sn (0.500, 0.000, 0.000)
Sn (0.500, 0.500, 0.247)
Sn (0.500, 0.500, 0.753)
Pb (0.000, 0.500, 0.000)
Pb (0.000, 0.500, 0.500)
Pb (0.500, 0.000, 0.500)


First-principles (PBE-GGA) data for crystalline AcThGePd at its relaxed geometry, as listed in Alexandria.

ΔH_f (0 K)   -0.530 eV/atom
Crystal system   cubic
E   -23.46 eV/cell

a b c (Å): 5.305 5.305 5.305
angles (deg): 60.00 60.00 60.00
Positions (direct):
Ac (0.000, 0.000, 0.000)
Th (0.500, 0.500, 0.500)
Ge (0.250, 0.250, 0.250)
Pd (0.750, 0.750, 0.750)